(1)
VASP calculation (PBE-GGA) on LiSn3Se6 after structural relaxation.

Unit cell a=7.460 b=7.460 c=7.460 alpha=55.33 beta=55.33 gamma=55.33
Sites, in units of the cell vectors:
Li (0.000, 0.000, 0.000)
Sn (0.206, 0.206, 0.206)
Sn (0.517, 0.517, 0.517)
Sn (0.714, 0.714, 0.714)
Se (0.131, 0.797, 0.388)
Se (0.302, 0.604, 0.920)
Se (0.388, 0.131, 0.797)
Se (0.604, 0.920, 0.302)
Se (0.797, 0.388, 0.131)
Se (0.920, 0.302, 0.604)

Calculated values
Relative energy among the computed polymorphs (kcal/mol of atoms): 0.00
DOS at the Fermi energy (states/eV per atom): 0.50
Uncorrected formation energy (eV/atom): -0.421
Size of the total moment (μB/cell): 0.00

---

(2)
VASP calculation (PBE-GGA) on SbPbI3 after structural relaxation.

Unit cell a=6.049 b=6.049 c=6.049 alpha=90.00 beta=90.00 gamma=90.00
Sites, in units of the cell vectors:
Sb (0.000, 0.000, 0.000)
Pb (0.500, 0.500, 0.500)
I (0.000, 0.000, 0.500)
I (0.000, 0.500, 0.000)
I (0.500, 0.000, 0.000)

Calculated values
Relative energy among the computed polymorphs (kcal/mol of atoms): 0.00
DOS at the Fermi energy (states/eV per atom): 0.83
Uncorrected formation energy (eV/atom): 0.104
Size of the total moment (μB/cell): 0.96

---

(3)
VASP calculation (PBE-GGA) on ScMoPS2 after structural relaxation.

Unit cell a=4.804 b=4.804 c=4.971 alpha=90.00 beta=90.00 gamma=90.00
Sites, in units of the cell vectors:
Sc (0.000, 0.000, 0.000)
Mo (0.500, 0.500, 0.500)
P (0.000, 0.000, 0.500)
S (0.000, 0.500, 0.000)
S (0.500, 0.000, 0.000)

Calculated values
Relative energy among the computed polymorphs (kcal/mol of atoms): 13.06
DOS at the Fermi energy (states/eV per atom): 0.75
Uncorrected formation energy (eV/atom): 0.415
Size of the total moment (μB/cell): 2.70

---

(4)
VASP calculation (PBE-GGA) on Tl2In2P after structural relaxation.

Unit cell a=7.188 b=7.188 c=5.482 alpha=90.00 beta=90.00 gamma=90.00
Sites, in units of the cell vectors:
Tl (0.170, 0.330, 0.000)
Tl (0.330, 0.830, 0.000)
Tl (0.670, 0.170, 0.000)
Tl (0.830, 0.670, 0.000)
In (0.147, 0.647, 0.500)
In (0.353, 0.147, 0.500)
In (0.647, 0.853, 0.500)
In (0.853, 0.353, 0.500)
P (0.000, 0.000, 0.500)
P (0.500, 0.500, 0.500)

Calculated values
Relative energy among the computed polymorphs (kcal/mol of atoms): 0.00
Formation energy (eV per atom): 0.12
DOS at the Fermi energy (states/eV per atom): 0.75
Size of the total moment (μB/cell): 0.00

---

(5)
VASP calculation (PBE-GGA) on LaPr2NdTl4 after structural relaxation.

Unit cell a=9.657 b=9.657 c=9.657 alpha=33.53 beta=33.53 gamma=33.53
Sites, in units of the cell vectors:
La (0.000, 0.000, 0.000)
Pr (0.250, 0.250, 0.250)
Pr (0.750, 0.750, 0.750)
Nd (0.500, 0.500, 0.500)
Tl (0.126, 0.126, 0.126)
Tl (0.376, 0.376, 0.376)
Tl (0.624, 0.624, 0.624)
Tl (0.874, 0.874, 0.874)

Calculated values
Formation energy (eV per atom): -0.40
DOS at the Fermi energy (states/eV per atom): 0.91
Size of the total moment (μB/cell): 0.00

---

(6)
VASP calculation (PBE-GGA) on MoP2CCl after structural relaxation.

Unit cell a=4.668 b=4.668 c=4.861 alpha=90.00 beta=90.00 gamma=90.00
Sites, in units of the cell vectors:
Mo (0.000, 0.000, 0.000)
P (0.000, 0.500, 0.000)
P (0.500, 0.000, 0.000)
C (0.500, 0.500, 0.500)
Cl (0.000, 0.000, 0.500)

Calculated values
Relative energy among the computed polymorphs (kcal/mol of atoms): 7.66
DOS at the Fermi energy (states/eV per atom): 1.18
Uncorrected formation energy (eV/atom): 1.600
Size of the total moment (μB/cell): 1.96